1.
The following is a DFT calculation (GGA-PBEsol) of crystalline NiAuCl2 at its relaxed geometry.

The structure belongs to space group P4mm (No. 99); the cell edges are 3.456, 3.456 and 6.473 Å and the angles 90.00°, 90.00° and 90.00°. The asymmetric unit holds Ni at (0.000, 0.000, 0.000), Au at (0.500, 0.500, 0.122), Cl at (0.000, 0.000, 0.340) and Cl at (0.500, 0.500, 0.749).

The value obtained for the total magnetization is 1.02 Bohr magnetons per cell. The density of states at the Fermi level comes out at 0.980 states/eV/atom. The value obtained for the final energy is -3.384 eV/atom. As for the uncorrected formation energy: 0.140 eV/atom.



2.
The following is a DFT calculation (GGA-PBEsol) of crystalline Ni2AuCl at its relaxed geometry.

The structure belongs to space group Pmmm (No. 47); the cell edges are 2.910, 3.419 and 6.140 Å and the angles 90.00°, 90.00° and 90.00°. The asymmetric unit holds Ni at (0.000, 0.000, 0.210), Au at (0.500, 0.500, 0.000) and Cl at (0.500, 0.000, 0.500).

The value obtained for the total magnetization is 0.76 Bohr magnetons per cell. The density of states at the Fermi level comes out at 1.367 states/eV/atom. The value obtained for the final energy is -4.435 eV/atom. As for the uncorrected formation energy: 0.127 eV/atom. The energy above the most stable polymorph in this dataset comes out at 0 meV/atom.



3.
The following is a DFT calculation (GGA-PBEsol) of crystalline Ni2AuCl at its relaxed geometry.

The structure belongs to space group Imm2 (No. 44); the cell edges are 2.830, 4.128 and 10.686 Å and the angles 90.00°, 90.00° and 90.00°. The asymmetric unit holds Ni at (0.000, 0.000, 0.000), Ni at (0.000, 0.500, 0.310), Au at (0.000, 0.500, 0.868) and Cl at (0.000, 0.000, 0.639).

The value obtained for the total magnetization is 2.70 Bohr magnetons per cell. The density of states at the Fermi level comes out at 1.197 states/eV/atom. The value obtained for the final energy is -4.249 eV/atom. As for the uncorrected formation energy: 0.312 eV/atom. The energy above the most stable polymorph in this dataset comes out at 186 meV/atom.



4.
The following is a DFT calculation (GGA-PBEsol) of crystalline NiAuCl at its relaxed geometry.

The structure belongs to space group I4mm (No. 107); the cell edges are 2.877, 2.877 and 11.851 Å and the angles 90.00°, 90.00° and 90.00°. The asymmetric unit holds Ni at (0.000, 0.000, 0.000), Au at (0.000, 0.000, 0.651) and Cl at (0.000, 0.000, 0.388).

The value obtained for the total magnetization is 2.41 Bohr magnetons per cell. The density of states at the Fermi level comes out at 1.018 states/eV/atom. The value obtained for the final energy is -3.810 eV/atom. As for the uncorrected formation energy: 0.220 eV/atom.



5.
The following is a DFT calculation (GGA-PBEsol) of crystalline NiAuS2Cl at its relaxed geometry.

The structure belongs to space group P4/mmm (No. 123); the cell edges are 4.786, 4.786 and 4.737 Å and the angles 90.00°, 90.00° and 90.00°. The asymmetric unit holds Ni at (0.000, 0.000, 0.000), Au at (0.500, 0.500, 0.500), S at (0.000, 0.500, 0.500) and Cl at (0.500, 0.500, 0.000).

The value obtained for the total magnetization is 1.78 Bohr magnetons per cell. The density of states at the Fermi level comes out at 1.540 states/eV/atom. The value obtained for the final energy is -3.197 eV/atom. As for the uncorrected formation energy: 0.974 eV/atom.



6.
The following is a DFT calculation (GGA-PBEsol) of crystalline RhAuCl2O at its relaxed geometry.

The structure belongs to space group P4/mmm (No. 123); the cell edges are 5.035, 5.035 and 3.804 Å and the angles 90.00°, 90.00° and 90.00°. The asymmetric unit holds Rh at (0.000, 0.000, 0.000), Au at (0.500, 0.500, 0.500), Cl at (0.000, 0.500, 0.500) and O at (0.500, 0.500, 0.000).

The value obtained for the total magnetization is 2.64 Bohr magnetons per cell. The density of states at the Fermi level comes out at 1.390 states/eV/atom. The value obtained for the final energy is -3.517 eV/atom. As for the uncorrected formation energy: 0.749 eV/atom.



7.
The following is a DFT calculation (GGA-PBEsol) of crystalline Os2AuCl2 at its relaxed geometry.

The structure belongs to space group I4/mmm (No. 139); the cell edges are 4.070, 4.070 and 10.058 Å and the angles 90.00°, 90.00° and 90.00°. The asymmetric unit holds Os at (0.000, 0.500, 0.250), Au at (0.000, 0.000, 0.000) and Cl at (0.000, 0.000, 0.367).

The value obtained for the total magnetization is 0.00 Bohr magnetons per cell. The density of states at the Fermi level comes out at 0.665 states/eV/atom. The value obtained for the final energy is -5.126 eV/atom. As for the uncorrected formation energy: 1.349 eV/atom.



8.
The following is a DFT calculation (GGA-PBEsol) of crystalline OsAuS2Cl at its relaxed geometry.

The structure belongs to space group P4/mmm (No. 123); the cell edges are 4.777, 4.777 and 4.654 Å and the angles 90.00°, 90.00° and 90.00°. The asymmetric unit holds Os at (0.000, 0.000, 0.000), Au at (0.500, 0.500, 0.500), S at (0.000, 0.500, 0.500) and Cl at (0.500, 0.500, 0.000).

The value obtained for the total magnetization is 4.37 Bohr magnetons per cell. The density of states at the Fermi level comes out at 1.139 states/eV/atom. The value obtained for the final energy is -3.772 eV/atom. As for the uncorrected formation energy: 1.611 eV/atom.



9.
The following is a DFT calculation (GGA-PBEsol) of crystalline PAu2Cl at its relaxed geometry.

The structure belongs to space group Pm (No. 6); the cell edges are 3.570, 3.471 and 6.754 Å and the angles 90.00°, 96.37° and 90.00°. The asymmetric unit holds P at (0.000, 0.000, 0.000), Au at (0.252, 0.000, 0.342), Au at (0.611, 0.500, 0.115) and Cl at (0.285, 0.500, 0.613).

The value obtained for the total magnetization is 0.00 Bohr magnetons per cell. The density of states at the Fermi level comes out at 0.096 states/eV/atom. The value obtained for the final energy is -3.850 eV/atom. As for the uncorrected formation energy: 0.062 eV/atom. The energy above the most stable polymorph in this dataset comes out at 3 meV/atom.



10.
The following is a DFT calculation (GGA-PBEsol) of crystalline PAu2Cl at its relaxed geometry.

The structure belongs to space group C2/m (No. 12); the cell edges are 6.080, 3.515 and 7.137 Å and the angles 90.00°, 106.21° and 90.00°. The asymmetric unit holds P at (0.000, 0.000, 0.000), Au at (0.237, 0.500, 0.215) and Cl at (0.000, 0.500, 0.500).

The value obtained for the total magnetization is 0.00 Bohr magnetons per cell. The density of states at the Fermi level comes out at 0.322 states/eV/atom. The value obtained for the final energy is -3.853 eV/atom. As for the uncorrected formation energy: 0.059 eV/atom. The energy above the most stable polymorph in this dataset comes out at 0 meV/atom.



11.
The following is a DFT calculation (GGA-PBEsol) of crystalline PAuCl4 at its relaxed geometry.

The structure belongs to space group P2_1/c (No. 14); the cell edges are 7.320, 14.923 and 5.972 Å and the angles 90.00°, 94.42° and 90.00°. The asymmetric unit holds P at (0.236, 0.134, 0.000), Au at (0.447, 0.240, 0.005), Cl at (0.000, 0.171, 0.124), Cl at (0.155, 0.085, 0.694), Cl at (0.305, 0.022, 0.175) and Cl at (0.334, 0.652, 0.991).

The value obtained for the total magnetization is 0.00 Bohr magnetons per cell. The density of states at the Fermi level comes out at 0.000 states/eV/atom. The value obtained for the final energy is -3.520 eV/atom. As for the uncorrected formation energy: -0.562 eV/atom.



12.
The following is a DFT calculation (GGA-PBEsol) of crystalline PAuCl8 at its relaxed geometry.

The structure belongs to space group Imma (No. 74); the cell edges are 12.541, 15.689 and 11.451 Å and the angles 90.00°, 90.00° and 90.00°. The asymmetric unit holds P at (0.250, 0.004, 0.250), Au at (0.000, 0.250, 0.059), Au at (0.000, 0.250, 0.578), Cl at (0.000, 0.104, 0.060), Cl at (0.000, 0.104, 0.577), Cl at (0.000, 0.250, 0.377), Cl at (0.000, 0.250, 0.777), Cl at (0.151, 0.076, 0.337), Cl at (0.171, 0.068, 0.859) and Cl at (0.182, 0.250, 0.057).

The value obtained for the total magnetization is 0.01 Bohr magnetons per cell. The density of states at the Fermi level comes out at 0.000 states/eV/atom. The value obtained for the final energy is -3.090 eV/atom. As for the uncorrected formation energy: -0.512 eV/atom.



Q: Which value of final energy does entry 4 give?
A: -3.810 eV/atom



Q: Which formula does entry 9 have?
A: PAu2Cl